Density functional theory data (PBE) for crystalline AgTe3 at its relaxed geometry.

E_tot = -2.674 eV/atom
N(E_F) = 3.7 states/eV/cell

The structure in POSCAR format:
```
AgTe3
1.0
4.780 0.000 0.000
0.000 4.780 0.000
0.000 0.000 4.780
Ag Te
1 3
direct
0.000 0.000 0.000
0.000 0.500 0.500
0.500 0.000 0.500
0.500 0.500 0.000
```



Density functional theory data (PBE) for crystalline Ag2Te at its relaxed geometry.

E_tot = -2.631 eV/atom
N(E_F) = 4.8 states/eV/cell

The structure in POSCAR format:
```
Ag2Te
1.0
0.168 2.170 2.251
-1.619 -2.637 0.484
20.369 -10.863 8.954
Ag Te
6 3
direct
0.667 0.333 0.392
0.000 0.000 0.055
0.000 0.000 0.945
0.333 0.667 0.719
0.667 0.333 0.281
0.333 0.667 0.608
0.667 0.333 0.164
0.333 0.667 0.836
0.000 0.000 0.500
```



Density functional theory data (PBE) for crystalline AgTe3 at its relaxed geometry.

E_tot = -3.078 eV/atom
N(E_F) = 1.9 states/eV/cell

The structure in POSCAR format:
```
AgTe3
1.0
-3.463 -2.961 -2.742
3.955 1.529 -3.210
1.984 -2.861 4.020
Te Ag
3 1
direct
0.494 0.500 0.000
0.494 0.000 0.500
0.993 0.499 0.499
0.995 0.000 0.000
```



Density functional theory data (PBE) for crystalline Ag2Te at its relaxed geometry.

E_tot = -2.944 eV/atom
N(E_F) = 0.9 states/eV/cell

The structure in POSCAR format:
```
Ag2Te
1.0
-1.946 2.632 -3.856
-4.730 0.030 -1.791
-1.507 5.315 4.668
Ag Te
4 2
direct
0.919 0.919 0.085
0.625 0.625 0.245
0.736 0.736 0.677
0.325 0.325 0.358
0.216 0.216 0.962
0.013 0.013 0.507
```



Density functional theory data (PBE) for crystalline AgTe at its relaxed geometry.

E_tot = -2.938 eV/atom
N(E_F) = 2.0 states/eV/cell

The structure in POSCAR format:
```
AgTe
1.0
-1.874 1.650 -3.652
0.786 -4.342 0.314
-5.758 -0.857 2.567
Te Ag
2 2
direct
0.000 0.000 0.000
0.000 0.000 0.500
0.333 0.667 0.750
0.667 0.333 0.250
```



Density functional theory data (PBE) for crystalline AgTe at its relaxed geometry.

E_tot = -2.844 eV/atom
N(E_F) = 1.5 states/eV/cell

The structure in POSCAR format:
```
AgTe
1.0
11.538 0.086 0.050
11.069 3.258 0.050
11.069 1.637 2.817
Ag Te
2 2
direct
0.741 0.741 0.741
0.009 0.009 0.009
0.269 0.269 0.269
0.481 0.481 0.481
```



Density functional theory data (PBE) for crystalline AgTe at its relaxed geometry.

E_tot = -2.962 eV/atom
N(E_F) = 6.6 states/eV/cell

The structure in POSCAR format:
```
AgTe
1.0
-2.908 6.081 -9.803
-3.552 1.130 1.754
3.017 5.539 2.541
Ag Te
6 6
direct
0.176 0.000 0.754
0.500 0.500 0.566
0.000 0.000 0.066
0.676 0.500 0.254
0.824 0.000 0.754
0.324 0.500 0.254
0.500 0.000 0.259
0.324 0.500 0.835
0.676 0.500 0.835
0.176 0.000 0.335
0.000 0.500 0.759
0.824 0.000 0.335
```



Density functional theory data (PBE) for crystalline Ag2Te at its relaxed geometry.

E_tot = -2.781 eV/atom
N(E_F) = 0.7 states/eV/cell

The structure in POSCAR format:
```
Ag2Te
1.0
7.052 0.034 0.000
5.613 4.269 0.000
-6.332 -2.152 2.236
Ag Te
2 1
direct
0.320 0.320 0.000
0.680 0.680 0.000
0.000 0.000 0.000
```